# TaZn2Si, relaxed, DFT PBE
data_TaZn2Si
_symmetry_space_group_name_H-M 'P 1'
_symmetry_Int_Tables_number 1
_cell_length_a 2.780
_cell_length_b 2.780
_cell_length_c 8.199
_cell_angle_alpha 90.00
_cell_angle_beta 90.00
_cell_angle_gamma 90.00
loop_
_symmetry_equiv_pos_as_xyz
'x,y,z'
loop_
_atom_site_label
_atom_site_type_symbol
_atom_site_fract_x
_atom_site_fract_y
_atom_site_fract_z
Si1 Si 0.000 0.000 0.506
Ta1 Ta 0.500 0.500 0.748
Zn1 Zn 0.000 0.000 0.006
Zn2 Zn 0.500 0.500 0.241
# Density of states at the Fermi level   0.67 states/eV per atom
# Energy relative to the elements, uncorrected   0.137 eV per atom
# SG   P4mm